1.
TlIn2Sn PBE optimized geometry; excess energy over the best structure of this formula in the dataset = 64 meV/atom; energy = -2.874 eV/atom
1.0
8.639 0.000 0.000
0.000 8.639 0.000
0.000 0.000 6.334
Tl In Sn
4 8 4
Direct
0.000 0.000 0.000
0.000 0.500 0.250
0.500 0.000 0.750
0.500 0.500 0.500
0.229 0.250 0.625
0.250 0.729 0.875
0.250 0.771 0.375
0.271 0.250 0.125
0.729 0.750 0.125
0.750 0.229 0.375
0.750 0.271 0.875
0.771 0.750 0.625
0.000 0.000 0.500
0.000 0.500 0.750
0.500 0.000 0.250
0.500 0.500 0.000



2.
TlV2InSn PBE optimized geometry; energy = -4.385 eV/atom
1.0
5.226 0.000 0.000
0.000 5.226 0.000
0.000 0.000 5.619
Tl V In Sn
1 2 1 1
Direct
0.000 0.000 0.000
0.000 0.500 0.500
0.500 0.000 0.500
0.500 0.500 0.000
0.500 0.500 0.500



3.
Tl2ZnInSn2 PBE optimized geometry; energy = -2.745 eV/atom
1.0
-3.126 8.731 3.080
3.126 -8.731 3.080
3.126 8.731 -3.080
Tl Zn In Sn
4 2 2 4
Direct
0.188 0.191 0.380
0.312 0.691 0.003
0.688 0.309 0.997
0.812 0.809 0.620
0.250 0.750 0.500
0.750 0.250 0.500
0.250 0.250 0.000
0.750 0.750 0.000
0.116 0.692 0.808
0.384 0.192 0.577
0.616 0.808 0.423
0.884 0.308 0.192